No. 1
First-principles (GGA-PBE) data for a relaxed structure of MgHIr6, as listed in Alexandria via LeMat-Bulk.

POSCAR file:
```
MgHIr6
1.0
4.737 0.000 -0.798
0.943 4.642 0.798
0.000 0.000 4.804
Ir H Mg
6 1 1
direct
0.881 0.781 0.938 Ir
0.177 0.221 0.081 Ir
0.607 0.351 0.807 Ir
0.751 0.055 0.368 Ir
0.321 0.925 0.641 Ir
0.047 0.495 0.511 Ir
0.966 0.138 0.724 H
0.464 0.638 0.224 Mg
```

## Properties
symmetry: P1 (1)
polymorph energy (0 for the lowest one): 0.0274 eV per atom


No. 2
First-principles (GGA-PBE) data for a relaxed structure of Mo2Se, as listed in Alexandria via LeMat-Bulk.

POSCAR file:
```
Mo2Se
1.0
4.353 0.000 0.000
-2.176 3.770 0.000
0.000 0.000 3.160
Mo Se
2 1
direct
0.667 0.333 0.500 Mo
0.333 0.667 0.500 Mo
0.000 0.000 0.000 Se
```

## Properties
symmetry: P6/mmm (191)
polymorph energy (0 for the lowest one): 0.7861 eV per atom
E_form (uncorrected): 0.693 eV per atom


No. 3
First-principles (GGA-PBE) data for a relaxed structure of CaMgAs2Br, as listed in Alexandria via LeMat-Bulk.

POSCAR file:
```
CaMgAs2Br
1.0
5.513 0.000 0.000
0.000 5.513 0.000
0.000 0.000 5.427
Br As Mg Ca
1 2 1 1
direct
0.000 0.000 0.500 Br
0.500 0.000 0.000 As
0.000 0.500 0.000 As
0.500 0.500 0.500 Mg
0.000 0.000 0.000 Ca
```

## Properties
symmetry: P4/mmm (123)
polymorph energy (0 for the lowest one): 0.4945 eV per atom
E_form (uncorrected): 0.133 eV per atom


No. 4
First-principles (GGA-PBE) data for a relaxed structure of Cs3MgNp2Se6, as listed in Alexandria via LeMat-Bulk.

POSCAR file:
```
Cs3MgNp2Se6
1.0
7.375 -0.002 0.003
-3.688 6.387 0.003
-1.231 -2.131 8.335
Se Cs Mg Np
6 3 1 2
direct
0.729 0.729 0.181 Se
0.271 0.271 0.819 Se
0.061 0.393 0.182 Se
0.939 0.607 0.818 Se
0.607 0.939 0.818 Se
0.393 0.061 0.182 Se
0.500 0.500 0.500 Cs
0.165 0.835 0.500 Cs
0.835 0.165 0.500 Cs
0.000 0.000 0.000 Mg
0.333 0.667 0.000 Np
0.667 0.333 0.000 Np
```

## Properties
symmetry: C2/m (12)
E_form (uncorrected): -1.212 eV per atom


No. 5
First-principles (GGA-PBE) data for a relaxed structure of NaMgRhF6, as listed in Alexandria via LeMat-Bulk.

POSCAR file:
```
NaMgRhF6
1.0
-2.981 -1.802 4.009
4.577 -2.411 -1.198
4.788 5.983 6.250
F Rh Na Mg
12 2 2 2
direct
0.645 0.644 0.142 F
0.355 0.999 0.642 F
0.999 0.644 0.358 F
0.356 0.001 0.142 F
0.644 0.999 0.858 F
0.356 0.355 0.358 F
0.355 0.356 0.858 F
0.644 0.645 0.642 F
0.999 0.355 0.142 F
0.001 0.645 0.858 F
0.645 0.001 0.358 F
0.001 0.356 0.642 F
0.333 0.667 0.750 Rh
0.667 0.333 0.250 Rh
0.000 0.000 0.500 Na
0.000 0.000 0.000 Na
0.667 0.333 0.750 Mg
0.333 0.667 0.250 Mg
```

## Properties
symmetry: P-31c (163)
E_form (uncorrected): -2.502 eV per atom


No. 6
First-principles (GGA-PBE) data for a relaxed structure of Li3SbC, as listed in Alexandria via LeMat-Bulk.

POSCAR file:
```
Li3SbC
1.0
-0.189 2.962 4.259
-5.075 -0.990 0.463
1.077 -4.147 2.932
Li C Sb
3 1 1
direct
0.000 0.500 0.000 Li
0.500 0.000 0.000 Li
0.000 0.000 0.500 Li
0.500 0.500 0.500 C
0.000 0.000 0.000 Sb
```

## Properties
symmetry: Pm-3m (221)
polymorph energy (0 for the lowest one): 0.7039 eV per atom
E_form (uncorrected): 1.075 eV per atom


No. 7
First-principles (GGA-PBE) data for a relaxed structure of CaGaHg, as listed in Alexandria via LeMat-Bulk.

POSCAR file:
```
CaGaHg
1.0
-1.707 2.703 -1.763
-3.159 -1.807 0.290
1.445 2.046 5.517
Hg Ca Ga
1 1 1
direct
0.936 0.936 0.872 Hg
0.617 0.617 0.234 Ca
0.297 0.297 0.593 Ga
```

## Properties
symmetry: I4mm (107)
polymorph energy (0 for the lowest one): 0.1390 eV per atom


No. 8
First-principles (GGA-PBE) data for a relaxed structure of Nd2AlPdS5, as listed in Alexandria via LeMat-Bulk.

POSCAR file:
```
Nd2AlPdS5
1.0
-2.053 -3.022 -1.235
6.331 -4.106 5.543
-6.843 1.117 8.643
S Pd Al Nd
10 2 2 4
direct
0.322 0.643 0.632 S
0.360 0.720 0.989 S
0.505 0.010 0.793 S
0.038 0.077 0.051 S
0.962 0.923 0.551 S
0.321 0.642 0.324 S
0.679 0.358 0.824 S
0.678 0.357 0.132 S
0.640 0.280 0.489 S
0.495 0.990 0.293 S
0.245 0.489 0.094 Pd
0.755 0.511 0.594 Pd
0.411 0.822 0.467 Al
0.589 0.178 0.967 Al
0.888 0.776 0.796 Nd
0.105 0.209 0.678 Nd
0.895 0.791 0.178 Nd
0.112 0.224 0.296 Nd
```

## Properties
symmetry: Cmc2_1 (36)
E_form (uncorrected): -1.402 eV per atom


| no. | mass density (Mg/m³) | VASP energy (eV per atom) | Fermi-level density of states (states/eV/f.u.) |
| --- | --- | --- | --- |
| 1 | 18.53 | -7.240 | 7.8 |
| 2 | 8.68 | -7.690 | 1.7 |
| 3 | 2.96 | -2.781 | 3.1 |
| 4 | 5.80 | -5.457 | 19.2 |
| 5 | 3.63 | -4.890 | 0.0 |
| 6 | 1.83 | -2.743 | 5.0 |
| 7 | 7.05 | -2.124 | 0.4 |
| 8 | 4.94 | -5.748 | 2.5 |